No. 1
Here is crystalline ThZrSe at its relaxed geometry from Alexandria via LeMat-Bulk. Energies are from PBE.

Computed properties:
The symmetry is P1. For the raw formation energy, the calculation gives -0.727 eV/atom.

extended XYZ file:
```
12
Lattice="6.5174 0.0000 0.0000 -1.0306 6.9218 0.0000 -2.1795 -0.5956 6.8505" Properties=species:S:1:pos:R:3 pbc="T T T"
Th 0.0000 0.0000 0.0000
Th -0.8008 3.5462 2.0739
Th 0.9710 -0.1277 4.8798
Th 1.8143 5.8072 1.6671
Zr -1.2895 3.2955 5.5347
Zr 2.9327 2.4931 0.6741
Zr 2.0975 3.4369 3.9705
Zr 4.0416 1.0375 3.4975
Se 1.2648 1.3606 2.3887
Se 1.1038 4.4276 6.2392
Se 3.0349 1.8202 6.0145
Se 4.0508 5.3429 4.0115
```

No. 2
Here is crystalline CoAgSn4 at its relaxed geometry from Alexandria via LeMat-Bulk. Energies are from PBE.

Computed properties:
The symmetry is P-6m2. The calculation puts the energy above the most stable polymorph in this dataset at 102.6 meV per atom. The energy of formation from the pure elements is 0.157 eV per atom.

extended XYZ file:
```
6
Lattice="3.3449 0.0000 0.0000 -1.6724 2.8967 0.0000 0.0000 0.0000 13.9574" Properties=species:S:1:pos:R:3 pbc="T T T"
Co 0.0000 0.0000 0.0000
Ag 0.0000 1.9312 6.9787
Sn 0.0000 0.0000 4.6372
Sn 0.0000 0.0000 9.3203
Sn 0.0000 1.9312 1.7709
Sn 0.0000 1.9312 12.1866
```

No. 3
Here is crystalline MnFeTe2 at its relaxed geometry from Alexandria via LeMat-Bulk. Energies are from PBE.

Computed properties:
The symmetry is P-4m2. For the raw formation energy, the calculation gives -0.072 eV/atom.

extended XYZ file:
```
4
Lattice="3.6796 0.0000 0.0000 0.0000 3.6796 0.0000 0.0000 0.0000 6.6683" Properties=species:S:1:pos:R:3 pbc="T T T"
Mn 0.0000 0.0000 0.0000
Fe 1.8398 1.8398 0.0000
Te 0.0000 1.8398 1.8138
Te 1.8398 0.0000 4.8546
```

No. 4
Here is crystalline Rb3MgGe at its relaxed geometry from Alexandria via LeMat-Bulk. Energies are from PBE.

Computed properties:
The symmetry is Pm-3m. The calculation puts the energy above the most stable polymorph in this dataset at 0.0 meV per atom. The energy of formation from the pure elements is 0.338 eV per atom.

extended XYZ file:
```
5
Lattice="6.8813 0.0000 0.0000 0.0000 6.8813 0.0000 0.0000 0.0000 6.8813" Properties=species:S:1:pos:R:3 pbc="T T T"
Rb 0.0000 0.0000 3.4406
Rb 0.0000 3.4406 0.0000
Rb 3.4406 0.0000 0.0000
Mg 3.4406 3.4406 3.4406
Ge 0.0000 0.0000 0.0000
```

No. 5
Here is crystalline RuSeBr2 at its relaxed geometry from Alexandria via LeMat-Bulk. Energies are from PBE.

Computed properties:
The symmetry is P4/mmm. The calculation puts the energy above the most stable polymorph in this dataset at 1231.7 meV per atom. For the raw formation energy, the calculation gives 1.042 eV/atom.

extended XYZ file:
```
4
Lattice="5.1309 0.0000 0.0000 0.0000 5.1309 0.0000 0.0000 0.0000 3.2801" Properties=species:S:1:pos:R:3 pbc="T T T"
Ru 0.0000 0.0000 0.0000
Se 2.5655 2.5655 0.0000
Br 0.0000 2.5655 1.6400
Br 2.5655 0.0000 1.6400
```

No. 6
Here is crystalline Tb3In2Hg6 at its relaxed geometry from Alexandria via LeMat-Bulk. Energies are from PBE.

Computed properties:
The symmetry is I4/mmm. The energy of formation from the pure elements is -0.198 eV per atom.

extended XYZ file:
```
11
Lattice="-2.1356 2.1356 16.2671 2.1356 -2.1356 16.2671 2.1356 2.1356 -16.2671" Properties=species:S:1:pos:R:3 pbc="T T T"
Tb 0.0000 0.0000 0.0000
Tb 0.0000 0.0000 5.6958
Tb 0.0000 0.0000 26.8383
In 0.0000 0.0000 11.7502
In 0.0000 0.0000 20.7839
Hg 2.1356 0.0000 2.2959
Hg 0.0000 0.0000 8.7876
Hg 2.1356 0.0000 13.9711
Hg 0.0000 2.1356 2.2959
Hg 0.0000 0.0000 23.7465
Hg 0.0000 2.1356 13.9711
```

No. 7
Here is crystalline SrAc4Co at its relaxed geometry from Alexandria via LeMat-Bulk. Energies are from PBE.

Computed properties:
The symmetry is C2/m. The energy of formation from the pure elements is 0.041 eV per atom.

extended XYZ file:
```
12
Lattice="9.6849 -4.0039 0.0000 9.6849 4.0039 0.0000 -2.1858 0.0000 6.3543" Properties=species:S:1:pos:R:3 pbc="T T T"
Sr 3.3875 0.0000 1.1386
Sr 13.7964 0.0000 5.2157
Ac 6.7798 1.9540 2.4748
Ac 9.6849 1.8979 0.0000
Ac 4.4230 0.0000 5.0545
Ac 10.4040 1.9540 3.8795
Ac 6.7798 -1.9540 2.4748
Ac 12.7608 0.0000 1.2998
Ac 9.6849 -1.8979 0.0000
Ac 10.4040 -1.9540 3.8795
Co 7.7070 0.0000 4.1810
Co 9.4769 0.0000 2.1733
```

No. 8
Here is crystalline CrNiHRu2 at its relaxed geometry from Alexandria via LeMat-Bulk. Energies are from PBE.

Computed properties:
The symmetry is P4/mmm. The calculation puts the energy above the most stable polymorph in this dataset at 0.0 meV per atom.

extended XYZ file:
```
5
Lattice="3.8514 0.0000 0.0000 0.0000 3.8514 0.0000 0.0000 0.0000 3.6171" Properties=species:S:1:pos:R:3 pbc="T T T"
Cr 0.0000 0.0000 0.0000
Ni 1.9257 1.9257 0.0000
H 1.9257 1.9257 1.8086
Ru 0.0000 1.9257 1.8086
Ru 1.9257 0.0000 1.8086
```

No. 9
Here is crystalline NaSb2Cl at its relaxed geometry from Alexandria via LeMat-Bulk. Energies are from PBE.

Computed properties:
The symmetry is I-42d. The calculation puts the energy above the most stable polymorph in this dataset at 0.0 meV per atom. For the raw formation energy, the calculation gives -0.535 eV/atom.

extended XYZ file:
```
8
Lattice="-2.0642 2.0642 16.0541 2.0642 -2.0642 16.0541 2.0642 2.0642 -16.0541" Properties=species:S:1:pos:R:3 pbc="T T T"
Na 0.0000 0.0000 0.0000
Na 0.0000 2.0642 8.0270
Sb 3.0963 1.0008 -4.0135
Sb 1.0008 1.0321 4.0135
Sb -1.0321 1.0634 12.0405
Sb 1.0634 1.0321 20.0676
Cl 2.0642 0.0000 8.0270
Cl 0.0000 0.0000 16.0541
```

No. 10
Here is crystalline TcAgO2 at its relaxed geometry from Alexandria via LeMat-Bulk. Energies are from PBE.

Computed properties:
The symmetry is R-3m. The calculation puts the energy above the most stable polymorph in this dataset at 0.0 meV per atom. For the raw formation energy, the calculation gives -0.768 eV/atom.

extended XYZ file:
```
4
Lattice="1.4077 0.8127 7.0153 -1.4077 0.8127 7.0153 0.0000 -1.6254 7.0153" Properties=species:S:1:pos:R:3 pbc="T T T"
Tc 0.0000 0.0000 0.0000
Ag 0.0000 0.0000 10.5229
O 0.0000 0.0000 8.3166
O 0.0000 0.0000 12.7293
```

No. 11
Here is crystalline SrZnGa2Tc at its relaxed geometry from Alexandria via LeMat-Bulk. Energies are from PBE.

Computed properties:
The symmetry is P4/mmm. The energy of formation from the pure elements is -0.243 eV per atom.

extended XYZ file:
```
5
Lattice="4.8441 0.0000 0.0000 0.0000 4.8441 0.0000 0.0000 0.0000 4.9442" Properties=species:S:1:pos:R:3 pbc="T T T"
Sr 0.0000 0.0000 0.0000
Zn 2.4220 2.4220 0.0000
Ga 0.0000 2.4220 2.4721
Ga 2.4220 0.0000 2.4721
Tc 2.4220 2.4220 2.4721
```

No. 12
Here is crystalline Nd2ThIn at its relaxed geometry from Alexandria via LeMat-Bulk. Energies are from PBE.

Computed properties:
The symmetry is R-3m. The calculation puts the energy above the most stable polymorph in this dataset at 324.8 meV per atom. The energy of formation from the pure elements is 0.101 eV per atom.

extended XYZ file:
```
4
Lattice="1.7917 1.0345 12.2699 -1.7917 1.0345 12.2699 0.0000 -2.0689 12.2699" Properties=species:S:1:pos:R:3 pbc="T T T"
Nd 0.0000 0.0000 3.2773
Nd 0.0000 0.0000 33.5323
Th 0.0000 0.0000 18.4048
In 0.0000 0.0000 0.0000
```

Number 11 is which compound? SrZnGa2Tc

Which formula does entry 4 have? Rb3MgGe